No. 1
# Li2IrW

A geometry-optimized Li2IrW structure (PBE-GGA, Alexandria via LeMat-Bulk).

Structure (CIF):
```
data_Li2IrW
_chemical_formula_sum 'Li2 Ir1 W1'
_cell_length_a 2.710
_cell_length_b 4.197
_cell_length_c 5.370
_cell_angle_alpha 90.00
_cell_angle_beta 99.50
_cell_angle_gamma 90.00
_symmetry_space_group_name_H-M 'P 1 m 1'
_symmetry_Int_Tables_number 6
loop_
_symmetry_equiv_pos_as_xyz
'x,y,z'
'x,-y,z'
loop_
_atom_site_label
_atom_site_fract_x
_atom_site_fract_y
_atom_site_fract_z
Li1 0.000 0.000 0.000
Li2 0.342 0.500 0.831
Ir1 0.371 0.000 0.515
W1 0.796 0.500 0.353
```

Computed properties:
Its density of states at the Fermi level is 0.61 states/eV/atom. Its formation enthalpy at 0 K is 68 meV per atom. The crystal system is monoclinic.

=====

No. 2
# BaLa2Rh

A geometry-optimized BaLa2Rh structure (PBE-GGA, Alexandria via LeMat-Bulk).

Structure (CIF):
```
data_BaLa2Rh
_chemical_formula_sum 'Ba1 La2 Rh1'
_cell_length_a 3.717
_cell_length_b 3.717
_cell_length_c 10.274
_cell_angle_alpha 90.00
_cell_angle_beta 90.00
_cell_angle_gamma 90.00
_symmetry_space_group_name_H-M 'P 4/m m m'
_symmetry_Int_Tables_number 123
_symmetry_space_group_name_Hall '-P 4 2'
loop_
_atom_site_label
_atom_site_fract_x
_atom_site_fract_y
_atom_site_fract_z
Ba1 0.000 0.000 0.000
La1 0.500 0.500 0.342
Rh1 0.000 0.000 0.500
```

Computed properties:
Its density of states at the Fermi level is 1.03 states/eV/atom. Its formation enthalpy at 0 K is -281 meV per atom. The crystal system is tetragonal. For the excess energy over the best structure of this formula in the dataset, the calculation gives 134 meV per atom.

=====

No. 3
# Zr2TeAu

A geometry-optimized Zr2TeAu structure (PBE-GGA, Alexandria via LeMat-Bulk).

Structure (CIF):
```
data_Zr2TeAu
_chemical_formula_sum 'Zr4 Te2 Au2'
_cell_length_a 4.408
_cell_length_b 4.914
_cell_length_c 7.936
_cell_angle_alpha 90.00
_cell_angle_beta 90.00
_cell_angle_gamma 90.00
_symmetry_space_group_name_H-M 'I m m m'
_symmetry_Int_Tables_number 71
_symmetry_space_group_name_Hall '-I 2 2'
loop_
_atom_site_label
_atom_site_fract_x
_atom_site_fract_y
_atom_site_fract_z
Zr1 0.000 0.000 0.249
Te1 0.000 0.500 0.500
Au1 0.000 0.500 0.000
```

Computed properties:
Its density of states at the Fermi level is 0.99 states/eV/atom. The crystal system is orthorhombic. The calculation puts the energy relative to the elements, uncorrected at -0.4931 eV/atom. For the excess energy over the best structure of this formula in the dataset, the calculation gives 25 meV per atom.

=====

No. 4
# Cs2CrRuI6

A geometry-optimized Cs2CrRuI6 structure (PBE-GGA, Alexandria via LeMat-Bulk).

Structure (CIF):
```
data_Cs2CrRuI6
_chemical_formula_sum 'Cs4 Cr2 Ru2 I12'
_cell_length_a 8.073
_cell_length_b 8.073
_cell_length_c 11.432
_cell_angle_alpha 90.00
_cell_angle_beta 90.00
_cell_angle_gamma 90.00
_symmetry_space_group_name_H-M 'I 4/m m m'
_symmetry_Int_Tables_number 139
_symmetry_space_group_name_Hall '-I 4 2'
loop_
_atom_site_label
_atom_site_fract_x
_atom_site_fract_y
_atom_site_fract_z
Cs1 0.000 0.500 0.250
Cr1 0.000 0.000 0.000
Ru1 0.000 0.000 0.500
I1 0.000 0.000 0.255
I2 0.245 0.245 0.500
```

Computed properties:
Its density of states at the Fermi level is 1.04 states/eV/atom. The crystal system is tetragonal. The calculation puts the energy relative to the elements, uncorrected at -0.5693 eV/atom.

=====

No. 5
# LiTmSc2In4

A geometry-optimized LiTmSc2In4 structure (PBE-GGA, Alexandria via LeMat-Bulk).

Structure (CIF):
```
data_LiTmSc2In4
_chemical_formula_sum 'Li3 Tm3 Sc6 In12'
_cell_length_a 5.0298
_cell_length_b 5.0298
_cell_length_c 25.0658
_cell_angle_alpha 90.00
_cell_angle_beta 90.00
_cell_angle_gamma 120.00
_symmetry_space_group_name_H-M 'R -3 m'
_symmetry_Int_Tables_number 166
_symmetry_space_group_name_Hall '-R 3 2"'
loop_
_atom_site_label
_atom_site_fract_x
_atom_site_fract_y
_atom_site_fract_z
Li1 0.0000 0.0000 0.0000
Tm1 0.0000 0.0000 0.5000
Sc1 0.0000 0.0000 0.2519
In1 0.0000 0.0000 0.1208
In2 0.0000 0.0000 0.3721
```

Computed properties:
Its density of states at the Fermi level is 0.55 states/eV/atom. Its formation enthalpy at 0 K is -383 meV per atom. The crystal system is trigonal.

=====

No. 6
# Rb3PaSe8

A geometry-optimized Rb3PaSe8 structure (PBE-GGA, Alexandria via LeMat-Bulk).

Structure (CIF):
```
data_Rb3PaSe8
_chemical_formula_sum 'Rb6 Pa2 Se16'
_cell_length_a 9.075
_cell_length_b 9.075
_cell_length_c 10.255
_cell_angle_alpha 90.00
_cell_angle_beta 90.00
_cell_angle_gamma 90.00
_symmetry_space_group_name_H-M 'I -4 2 m'
_symmetry_Int_Tables_number 121
_symmetry_space_group_name_Hall 'I -4 2'
loop_
_atom_site_label
_atom_site_fract_x
_atom_site_fract_y
_atom_site_fract_z
Rb1 0.000 0.000 0.000
Rb2 0.000 0.500 0.250
Pa1 0.000 0.000 0.500
Se1 0.144 0.144 0.712
Se2 0.224 0.224 0.500
```

Computed properties:
The crystal system is tetragonal. The calculation puts the energy relative to the elements, uncorrected at -0.9502 eV/atom.

=====

No. 7
# NdAs2RuRh

A geometry-optimized NdAs2RuRh structure (PBE-GGA, Alexandria via LeMat-Bulk).

Structure (CIF):
```
data_NdAs2RuRh
_chemical_formula_sum 'Nd2 As4 Ru2 Rh2'
_cell_length_a 4.135
_cell_length_b 4.135
_cell_length_c 10.852
_cell_angle_alpha 90.00
_cell_angle_beta 90.00
_cell_angle_gamma 90.00
_symmetry_space_group_name_H-M 'I -4 m 2'
_symmetry_Int_Tables_number 119
_symmetry_space_group_name_Hall 'I -4 -2'
loop_
_atom_site_label
_atom_site_fract_x
_atom_site_fract_y
_atom_site_fract_z
Nd1 0.000 0.000 0.000
As1 0.000 0.000 0.374
Ru1 0.000 0.500 0.750
Rh1 0.000 0.500 0.250
```

Computed properties:
Its density of states at the Fermi level is 0.65 states/eV/atom. Its formation enthalpy at 0 K is -795 meV per atom. The crystal system is tetragonal.

=====

No. 8
# CuHg4S5

A geometry-optimized CuHg4S5 structure (PBE-GGA, Alexandria via LeMat-Bulk).

Structure (CIF):
```
data_CuHg4S5
_chemical_formula_sum 'Cu2 Hg8 S10'
_cell_length_a 8.280
_cell_length_b 8.280
_cell_length_c 6.743
_cell_angle_alpha 90.00
_cell_angle_beta 90.00
_cell_angle_gamma 90.00
_symmetry_space_group_name_H-M 'I 4'
_symmetry_Int_Tables_number 79
loop_
_symmetry_equiv_pos_as_xyz
'x,y,z'
'-y,x,z'
'-x,-y,z'
'y,-x,z'
'x+1/2,y+1/2,z+1/2'
'-y+1/2,x+1/2,z+1/2'
'-x+1/2,-y+1/2,z+1/2'
'y+1/2,-x+1/2,z+1/2'
loop_
_atom_site_label
_atom_site_fract_x
_atom_site_fract_y
_atom_site_fract_z
Cu1 0.000 0.000 0.000
Hg1 0.023 0.290 0.449
S1 0.000 0.000 0.620
S2 0.011 0.278 0.065
```

Computed properties:
Its density of states at the Fermi level is 0.23 states/eV/atom. The crystal system is tetragonal. The calculation puts the energy relative to the elements, uncorrected at -0.0249 eV/atom. For the excess energy over the best structure of this formula in the dataset, the calculation gives 60 meV per atom.

=====

No. 9
# LuTiZnRh

A geometry-optimized LuTiZnRh structure (PBE-GGA, Alexandria via LeMat-Bulk).

Structure (CIF):
```
data_LuTiZnRh
_chemical_formula_sum 'Lu4 Ti4 Zn4 Rh4'
_cell_length_a 6.561
_cell_length_b 6.561
_cell_length_c 6.561
_cell_angle_alpha 90.00
_cell_angle_beta 90.00
_cell_angle_gamma 90.00
_symmetry_space_group_name_H-M 'F -4 3 m'
_symmetry_Int_Tables_number 216
_symmetry_space_group_name_Hall 'F -4 2 3'
loop_
_atom_site_label
_atom_site_fract_x
_atom_site_fract_y
_atom_site_fract_z
Lu1 0.000 0.000 0.000
Ti1 0.000 0.000 0.500
Zn1 0.250 0.250 0.250
Rh1 0.250 0.250 0.750
```

Computed properties:
Its density of states at the Fermi level is 0.98 states/eV/atom. Its formation enthalpy at 0 K is -453 meV per atom. The crystal system is cubic.

=====

No. 10
# Li4Ca5Hg

A geometry-optimized Li4Ca5Hg structure (PBE-GGA, Alexandria via LeMat-Bulk).

Structure (CIF):
```
data_Li4Ca5Hg
_chemical_formula_sum 'Li4 Ca5 Hg1'
_cell_length_a 3.929
_cell_length_b 3.929
_cell_length_c 19.488
_cell_angle_alpha 90.00
_cell_angle_beta 90.00
_cell_angle_gamma 90.00
_symmetry_space_group_name_H-M 'P 4/m m m'
_symmetry_Int_Tables_number 123
_symmetry_space_group_name_Hall '-P 4 2'
loop_
_atom_site_label
_atom_site_fract_x
_atom_site_fract_y
_atom_site_fract_z
Li1 0.000 0.000 0.102
Li2 0.000 0.000 0.305
Ca1 0.500 0.500 0.000
Ca2 0.500 0.500 0.203
Ca3 0.500 0.500 0.408
Hg1 0.000 0.000 0.500
```

Computed properties:
Its density of states at the Fermi level is 0.84 states/eV/atom. Its formation enthalpy at 0 K is -104 meV per atom. The crystal system is tetragonal.

=====

No. 11
# Mg6Zn2Pd

A geometry-optimized Mg6Zn2Pd structure (PBE-GGA, Alexandria via LeMat-Bulk).

Structure (CIF):
```
data_Mg6Zn2Pd
_chemical_formula_sum 'Mg12 Zn4 Pd2'
_cell_length_a 14.526
_cell_length_b 6.464
_cell_length_c 4.444
_cell_angle_alpha 90.00
_cell_angle_beta 107.71
_cell_angle_gamma 90.00
_symmetry_space_group_name_H-M 'C 1 2/m 1'
_symmetry_Int_Tables_number 12
loop_
_symmetry_equiv_pos_as_xyz
'x,y,z'
'-x,-y,-z'
'-x,y,-z'
'x,-y,z'
'x+1/2,y+1/2,z'
'-x+1/2,-y+1/2,-z'
'-x+1/2,y+1/2,-z'
'x+1/2,-y+1/2,z'
loop_
_atom_site_label
_atom_site_fract_x
_atom_site_fract_y
_atom_site_fract_z
Mg1 0.000 0.244 0.000
Mg2 0.163 0.240 0.662
Zn1 0.167 0.500 0.167
Pd1 0.000 0.000 0.500
```

Computed properties:
Its density of states at the Fermi level is 0.52 states/eV/atom. Its formation enthalpy at 0 K is -109 meV per atom. The crystal system is monoclinic.

=====

No. 12
# In5Mo3

A geometry-optimized In5Mo3 structure (PBE-GGA, Alexandria via LeMat-Bulk).

Structure (CIF):
```
data_In5Mo3
_chemical_formula_sum 'In10 Mo6'
_cell_length_a 8.259
_cell_length_b 8.949
_cell_length_c 4.291
_cell_angle_alpha 90.00
_cell_angle_beta 90.00
_cell_angle_gamma 90.00
_symmetry_space_group_name_H-M 'C m m m'
_symmetry_Int_Tables_number 65
_symmetry_space_group_name_Hall '-C 2 2'
loop_
_atom_site_label
_atom_site_fract_x
_atom_site_fract_y
_atom_site_fract_z
In1 0.000 0.000 0.000
In2 0.000 0.240 0.500
In3 0.250 0.250 0.000
Mo1 0.000 0.500 0.000
Mo2 0.206 0.500 0.500
```

Computed properties:
Its density of states at the Fermi level is 0.92 states/eV/atom. Its formation enthalpy at 0 K is 460 meV per atom. The crystal system is orthorhombic. For the excess energy over the best structure of this formula in the dataset, the calculation gives 0 meV per atom.

=====

No. 13
# PmTlSi2O6

A geometry-optimized PmTlSi2O6 structure (PBE-GGA, Alexandria via LeMat-Bulk).

Structure (CIF):
```
data_PmTlSi2O6
_chemical_formula_sum 'Pm4 Tl4 Si8 O24'
_cell_length_a 10.541
_cell_length_b 10.334
_cell_length_c 5.471
_cell_angle_alpha 90.00
_cell_angle_beta 100.96
_cell_angle_gamma 90.00
_symmetry_space_group_name_H-M 'C 1 2/c 1'
_symmetry_Int_Tables_number 15
loop_
_symmetry_equiv_pos_as_xyz
'x,y,z'
'-x,-y,-z'
'-x,y,-z+1/2'
'x,-y,z+1/2'
'x+1/2,y+1/2,z'
'-x+1/2,-y+1/2,-z'
'-x+1/2,y+1/2,-z+1/2'
'x+1/2,-y+1/2,z+1/2'
loop_
_atom_site_label
_atom_site_fract_x
_atom_site_fract_y
_atom_site_fract_z
Pm1 0.000 0.123 0.250
Tl1 0.000 0.325 0.750
Si1 0.221 0.421 0.293
O1 0.122 0.065 0.643
O2 0.154 0.280 0.246
O3 0.167 0.491 0.533
```

Computed properties:
Its density of states at the Fermi level is 0.00 states/eV/atom. The crystal system is monoclinic. The calculation puts the energy relative to the elements, uncorrected at -2.6519 eV/atom.

=====

No. 14
# NdDy3Os

A geometry-optimized NdDy3Os structure (PBE-GGA, Alexandria via LeMat-Bulk).

Structure (CIF):
```
data_NdDy3Os
_chemical_formula_sum 'Nd1 Dy3 Os1'
_cell_length_a 5.446
_cell_length_b 5.446
_cell_length_c 5.446
_cell_angle_alpha 90.00
_cell_angle_beta 90.00
_cell_angle_gamma 90.00
_symmetry_space_group_name_H-M 'P m -3 m'
_symmetry_Int_Tables_number 221
_symmetry_space_group_name_Hall '-P 4 2 3'
loop_
_atom_site_label
_atom_site_fract_x
_atom_site_fract_y
_atom_site_fract_z
Nd1 0.000 0.000 0.000
Dy1 0.000 0.500 0.500
Os1 0.500 0.500 0.500
```

Computed properties:
Its density of states at the Fermi level is 1.53 states/eV/atom. Its formation enthalpy at 0 K is 1 meV per atom. The crystal system is cubic. For the excess energy over the best structure of this formula in the dataset, the calculation gives 87 meV per atom.

=====

No. 15
# YSiSe2Br

A geometry-optimized YSiSe2Br structure (PBE-GGA, Alexandria via LeMat-Bulk).

Structure (CIF):
```
data_YSiSe2Br
_chemical_formula_sum 'Y1 Si1 Se2 Br1'
_cell_length_a 5.518
_cell_length_b 5.518
_cell_length_c 5.345
_cell_angle_alpha 90.00
_cell_angle_beta 90.00
_cell_angle_gamma 90.00
_symmetry_space_group_name_H-M 'P 4/m m m'
_symmetry_Int_Tables_number 123
_symmetry_space_group_name_Hall '-P 4 2'
loop_
_atom_site_label
_atom_site_fract_x
_atom_site_fract_y
_atom_site_fract_z
Y1 0.000 0.000 0.000
Si1 0.500 0.500 0.500
Se1 0.000 0.500 0.000
Br1 0.000 0.000 0.500
```

Computed properties:
Its density of states at the Fermi level is 0.41 states/eV/atom. The crystal system is tetragonal. The calculation puts the energy relative to the elements, uncorrected at -0.2560 eV/atom. For the excess energy over the best structure of this formula in the dataset, the calculation gives 197 meV per atom.

=====

Which uncorrected energy belongs to each record? In order, -6.343; -5.064; -6.372; -3.560; -4.133; -4.306; -6.934; -2.619; -5.713; -1.901; -2.032; -5.314; -7.423; -5.960; -4.362 eV per atom.